Record 1
Below is AgRh2Au after structural relaxation, with properties calculated at the GGA-PBE level.

Values from the calculation:
Calculated formation energy: 0.28 eV/atom
Energy above the lowest structure with this stoichiometry: 169 meV per atom

Cell: 4.975 4.975 4.975 Å, 133.28 133.28 68.22°
Last column: magnetic moment on the atom in μB.
Sites, in units of the cell vectors:
Rh1 0.750 0.250 0.500  0.75
Au1 0.000 0.000 0.000  0.09
Rh2 0.250 0.750 0.500  0.75
Ag1 0.500 0.500 0.000  0.04

---

Record 2
Below is AgRh2Au after structural relaxation, with properties calculated at the GGA-PBE level.

Values from the calculation:
Calculated formation energy: 0.11 eV/atom
Energy above the lowest structure with this stoichiometry: 0 meV per atom

Cell: 2.806 2.806 8.160 Å, 90.00 90.00 90.00°
Sites, in units of the cell vectors:
Ag1 0.000 0.000 0.490
Rh1 0.000 0.000 0.019
Au1 0.500 0.500 0.761
Rh2 0.500 0.500 0.231

---

Record 3
Below is AgRh2Au after structural relaxation, with properties calculated at the GGA-PBE level.

Values from the calculation:
Calculated formation energy: 0.16 eV/atom
Energy above the lowest structure with this stoichiometry: 56 meV per atom

Cell: 2.840 3.844 5.912 Å, 90.00 90.00 90.00°
Last column: magnetic moment on the atom in μB.
Sites, in units of the cell vectors:
Rh1 0.500 0.000 0.027  0.24
Au1 0.000 0.500 0.754  0.01
Ag1 0.500 0.000 0.497  0.00
Rh2 0.000 0.500 0.222  0.28

---

Record 4
Below is AgRh2Au after structural relaxation, with properties calculated at the GGA-PBE level.

Values from the calculation:
Calculated formation energy: 0.21 eV/atom
Energy above the lowest structure with this stoichiometry: 97 meV per atom

Cell: 4.839 4.839 5.011 Å, 80.60 80.60 33.69°
Sites, in units of the cell vectors:
Ag1 0.498 0.498 0.491
Rh1 0.005 0.005 0.971
Au1 0.254 0.254 0.259
Rh2 0.743 0.743 0.779

---

Record 5
Below is AgRh2Au after structural relaxation, with properties calculated at the GGA-PBE level.

Values from the calculation:
Calculated formation energy: 0.32 eV/atom
Energy above the lowest structure with this stoichiometry: 212 meV per atom

Cell: 4.513 4.513 4.513 Å, 60.00 60.00 60.00°
Last column: magnetic moment on the atom in μB.
Sites, in units of the cell vectors:
Rh1 0.750 0.750 0.750  0.76
Ag1 0.500 0.500 0.500  0.01
Rh2 0.000 0.000 0.000  0.64
Au1 0.250 0.250 0.250  0.03

---

Record 6
Below is AgRh2Au after structural relaxation, with properties calculated at the GGA-PBE level.

Values from the calculation:
Calculated formation energy: 0.22 eV/atom
Energy above the lowest structure with this stoichiometry: 115 meV per atom

Cell: 4.938 4.938 4.866 Å, 80.53 80.53 33.06°
Last column: magnetic moment on the atom in μB.
Sites, in units of the cell vectors:
Rh1 0.748 0.748 0.251  0.32
Rh2 0.252 0.252 0.749  0.32
Au1 0.000 0.000 0.500  0.04
Ag1 0.500 0.500 0.000  0.02

---

Record 7
Below is Ag2RhAu2 after structural relaxation, with properties calculated at the GGA-PBE level.

Values from the calculation:
Calculated formation energy: 0.35 eV/atom
Energy above the lowest structure with this stoichiometry: 34 meV per atom

Cell: 8.022 8.022 2.848 Å, 90.00 90.00 90.00°
Last column: magnetic moment on the atom in μB.
Sites, in units of the cell vectors:
Ag1 0.876 0.624 0.000  -0.01
Ag2 0.124 0.376 0.000  -0.01
Au1 0.326 0.174 0.500  0.01
Ag3 0.624 0.124 0.000  -0.01
Ag4 0.376 0.876 0.000  -0.01
Rh1 0.000 0.000 0.000  0.92
Au2 0.826 0.326 0.500  0.00
Au3 0.174 0.674 0.500  0.00
Rh2 0.500 0.500 0.000  0.91
Au4 0.674 0.826 0.500  0.01

---

Record 8
Below is AgRhAu after structural relaxation, with properties calculated at the GGA-PBE level.

Values from the calculation:
Calculated formation energy: 0.56 eV/atom
Energy above the lowest structure with this stoichiometry: 474 meV per atom

Cell: 4.394 4.394 4.394 Å, 60.00 60.00 60.00°
Last column: magnetic moment on the atom in μB.
Sites, in units of the cell vectors:
Au1 0.500 0.500 0.500  0.09
Ag1 0.000 0.000 0.000  0.04
Rh1 0.250 0.250 0.250  0.62